Record 1
Here is a relaxed ReTePd2Pb crystal from Alexandria via LeMat-Bulk. Energies are from PBE.

Results
Formation energy (no corrections)   0.879 eV/atom
Density of states at the Fermi level   2.41 states/eV/f.u.

Cell lengths 4.9642, 4.9642, 5.0635 Å; angles 90.00, 90.00, 90.00 degrees
With the nearest neighbours (Å) after each atom.
Space group P4/mmm (No. 123)
Asymmetric unit:
Re 0.0000 0.0000 0.0000 x1  2 Te 2.53
Te 0.0000 0.0000 0.5000 x1  4 Pd 2.48, 2 Re 2.53
Pd 0.0000 0.5000 0.5000 x2  2 Te 2.48
Pb 0.5000 0.5000 0.0000 x1  4 Re 3.51, 8 Pd 3.55



Record 2
Here is a relaxed Pd3RhPb6 crystal from Alexandria via LeMat-Bulk. Energies are from PBE.

Results
Formation energy from the elements   -0.1157 eV per atom
Density of states at the Fermi level   4.83 states/eV/f.u.

Cell lengths 7.3298, 6.9078, 11.2009 Å; angles 90.00, 121.90, 90.00 degrees
With the nearest neighbours (Å) after each atom.
Space group P2_1/c (No. 14)
Asymmetric unit:
Pd 0.0000 0.0000 0.0000 x2  6 Pb 2.80-2.84
Pd 0.1971 0.1685 0.7287 x4  7 Pb 2.82-3.09
Rh 0.5000 0.0000 0.5000 x2  6 Pb 2.71-2.76
Pb 0.1063 0.1464 0.4303 x4  1 Rh 2.75, 4 Pd 2.80-3.05
Pb 0.2620 0.6628 0.4086 x4  1 Rh 2.76, 2 Pd 2.84-2.92
Pb 0.4249 0.5050 0.7359 x4  1 Rh 2.71, 3 Pd 2.82-2.84



Record 3
Here is a relaxed Pd3RhPb2 crystal from Alexandria via LeMat-Bulk. Energies are from PBE.

Results
Formation energy from the elements   -0.1400 eV per atom
Density of states at the Fermi level   4.15 states/eV/f.u.

Cell lengths 5.8482, 13.3647, 5.8595 Å; angles 90.00, 90.00, 90.00 degrees
With the nearest neighbours (Å) after each atom.
Space group Ibam (No. 72)
Asymmetric unit:
Pd 0.0000 0.0000 0.2500 x4  6 Pd 2.84-2.93, 4 Pb 2.88, 2 Rh 2.92
Pd 0.2434 0.1475 0.0000 x8  5 Pb 2.76-2.96, 2 Pd 2.84, 2 Rh 2.88
Rh 0.0000 0.5000 0.2500 x4  4 Pb 2.81, 6 Pd 2.88-2.92, 2 Rh 2.93
Pb 0.2378 0.3543 0.0000 x8  7 Pd 2.76-2.96, 2 Rh 2.81



Record 4
Here is a relaxed PdRh2Pb4 crystal from Alexandria via LeMat-Bulk. Energies are from PBE.

Results
Formation energy from the elements   -0.0443 eV per atom
Density of states at the Fermi level   3.83 states/eV/f.u.

Cell lengths 7.0013, 7.2895, 7.7769 Å; angles 62.47, 77.54, 63.57 degrees
With the nearest neighbours (Å) after each atom.
Space group P1 (No. 1)
Asymmetric unit:
Pd 0.0000 0.0000 0.0000 x1  6 Pb 2.78-3.01, 1 Pd 2.98, 1 Rh 3.03
Pd 0.0665 0.5545 0.0264 x1  6 Pb 2.70-2.89, 1 Pd 2.98, 1 Rh 3.01
Rh 0.1219 0.6533 0.4994 x1  7 Pb 2.88-3.07, 2 Rh 2.95-3.01
Rh 0.4949 0.7368 0.5079 x1  6 Pb 2.73-3.03, 2 Rh 2.94-2.95
Rh 0.5684 0.3145 0.4921 x1  6 Pb 2.66-2.84, 1 Rh 2.94
Rh 0.6196 0.8914 0.0347 x1  7 Pb 2.85-3.08, 2 Pd 3.01-3.03
Pb 0.2047 0.0723 0.2274 x1  3 Rh 2.73-3.04, 2 Pd 2.84-2.88
Pb 0.3484 0.0308 0.6967 x1  3 Rh 2.81-3.08, 1 Pd 3.01
Pb 0.3853 0.6168 0.1514 x1  2 Rh 2.66-2.85, 2 Pd 2.84-2.89
Pb 0.4189 0.3789 0.8217 x1  4 Rh 2.72-2.92, 1 Pd 2.76
Pb 0.7044 0.0338 0.2984 x1  1 Pd 2.78, 4 Rh 2.80-3.07
Pb 0.8299 0.4910 0.8160 x1  2 Pd 2.86-2.91, 2 Rh 2.99-3.03
Pb 0.8805 0.5001 0.3797 x1  1 Pd 2.70, 4 Rh 2.75-3.01
Pb 0.9133 0.9476 0.6939 x1  3 Rh 2.73-2.97, 2 Pd 2.77-2.80



Record 5
Here is a relaxed PdRhPb5 crystal from Alexandria via LeMat-Bulk. Energies are from PBE.

Results
Formation energy from the elements   0.0196 eV per atom
Density of states at the Fermi level   3.92 states/eV/f.u.

Cell lengths 11.6818, 6.7402, 10.5410 Å; angles 90.00, 114.21, 90.00 degrees
With the nearest neighbours (Å) after each atom.
Space group C2/c (No. 15)
Asymmetric unit:
Pd 0.0000 0.0473 0.2500 x4  5 Pb 2.83-2.94
Rh 0.0000 0.5000 0.0000 x4  6 Pb 2.64-2.78
Pb 0.0000 0.4676 0.2500 x4  2 Rh 2.64, 1 Pd 2.83
Pb 0.1218 0.1409 0.0150 x8  1 Rh 2.78, 1 Pd 2.86
Pb 0.2341 0.3424 0.6499 x8  1 Rh 2.75, 1 Pd 2.94



Record 6
Here is a relaxed SbPdRh2Pb crystal from Alexandria via LeMat-Bulk. Energies are from PBE.

Results
Formation energy (no corrections)   0.946 eV/atom
Density of states at the Fermi level   7.67 states/eV/f.u.

Cell lengths 4.9321, 4.9321, 4.9803 Å; angles 90.00, 90.00, 90.00 degrees
With the nearest neighbours (Å) after each atom.
Space group P4/mmm (No. 123)
Asymmetric unit:
Sb 0.0000 0.0000 0.0000 x1  4 Pb 3.49, 8 Rh 3.50
Pd 0.5000 0.5000 0.5000 x1  4 Rh 2.47, 2 Pb 2.49
Rh 0.0000 0.5000 0.5000 x2  2 Pd 2.47
Pb 0.5000 0.5000 0.0000 x1  2 Pd 2.49



Record 7
Here is a relaxed ScPdRhPb crystal from Alexandria via LeMat-Bulk. Energies are from PBE.

Results
Formation energy from the elements   -0.5957 eV per atom
Density of states at the Fermi level   2.68 states/eV/f.u.

Cell lengths 6.6158, 6.6158, 6.6158 Å; angles 90.00, 90.00, 90.00 degrees
With the nearest neighbours (Å) after each atom.
Space group F-43m (No. 216)
Asymmetric unit:
Sc 0.0000 0.0000 0.0000 x4  4 Rh 2.86, 4 Pd 2.86
Pd 0.2500 0.2500 0.7500 x4  4 Pb 2.86, 4 Sc 2.86
Rh 0.2500 0.2500 0.2500 x4  4 Pb 2.86, 4 Sc 2.86
Pb 0.0000 0.0000 0.5000 x4  4 Rh 2.86, 4 Pd 2.86



Record 8
Here is a relaxed SmPdRhPb crystal from Alexandria via LeMat-Bulk. Energies are from PBE.

Results
Formation energy from the elements   -0.5497 eV per atom
Density of states at the Fermi level   2.99 states/eV/f.u.

Cell lengths 6.8890, 6.8890, 6.8890 Å; angles 90.00, 90.00, 90.00 degrees
With the nearest neighbours (Å) after each atom.
Space group F-43m (No. 216)
Asymmetric unit:
Sm 0.0000 0.0000 0.0000 x4  4 Rh 2.98, 4 Pd 2.98
Pd 0.2500 0.2500 0.2500 x4  4 Sm 2.98, 4 Pb 2.98
Rh 0.2500 0.2500 0.7500 x4  4 Pb 2.98, 4 Sm 2.98
Pb 0.0000 0.0000 0.5000 x4  4 Pd 2.98, 4 Rh 2.98



Record 9
Here is a relaxed Sr2PdRhPb6 crystal from Alexandria via LeMat-Bulk. Energies are from PBE.

Results
Formation energy from the elements   -0.2237 eV per atom
Density of states at the Fermi level   6.19 states/eV/f.u.

Cell lengths 7.3996, 7.3996, 38.4094 Å; angles 90.00, 90.00, 120.00 degrees
With the nearest neighbours (Å) after each atom.
Space group R-3m (No. 166, hexagonal axes)
Asymmetric unit:
Sr 0.0000 0.0000 0.1201 x6  12 Pb 3.72-3.83
Sr 0.0000 0.0000 0.2924 x6  12 Pb 3.70-3.79
Pd 0.0000 0.0000 0.0000 x3  6 Pb 2.79
Pd 0.0000 0.0000 0.5000 x3  6 Pb 2.83, 2 Rh 2.84
Rh 0.0000 0.0000 0.4260 x6  6 Pb 2.71-2.79, 1 Pd 2.84
Pb 0.0227 0.5113 0.2914 x18  1 Rh 2.79, 1 Pd 2.79
Pb 0.0380 0.5190 0.8734 x18  1 Rh 2.71, 1 Pd 2.83



Record 10
Here is a relaxed TbPdRhPb crystal from Alexandria via LeMat-Bulk. Energies are from PBE.

Results
Formation energy from the elements   -0.5936 eV per atom
Density of states at the Fermi level   3.08 states/eV/f.u.

Cell lengths 6.8232, 6.8232, 6.8232 Å; angles 90.00, 90.00, 90.00 degrees
With the nearest neighbours (Å) after each atom.
Space group F-43m (No. 216)
Asymmetric unit:
Tb 0.0000 0.0000 0.0000 x4  4 Rh 2.95, 4 Pd 2.95
Pd 0.2500 0.2500 0.2500 x4  4 Tb 2.95, 4 Pb 2.95
Rh 0.2500 0.2500 0.7500 x4  4 Tb 2.95, 4 Pb 2.95
Pb 0.0000 0.0000 0.5000 x4  4 Rh 2.95, 4 Pd 2.95



Record 11
Here is a relaxed TePdRhPb2 crystal from Alexandria via LeMat-Bulk. Energies are from PBE.

Results
Formation energy (no corrections)   0.960 eV/atom
Density of states at the Fermi level   7.61 states/eV/f.u.

Cell lengths 5.9528, 5.9528, 4.8476 Å; angles 90.00, 90.00, 90.00 degrees
With the nearest neighbours (Å) after each atom.
Space group P4/mmm (No. 123)
Asymmetric unit:
Te 0.0000 0.0000 0.0000 x1  2 Pd 2.42
Pd 0.0000 0.0000 0.5000 x1  2 Te 2.42
Rh 0.5000 0.5000 0.5000 x1  8 Pb 3.84, 4 Pd 4.21
Pb 0.0000 0.5000 0.0000 x2  2 Te 2.98



Record 12
Here is a relaxed TlPdRhPb crystal from Alexandria via LeMat-Bulk. Energies are from PBE.

Results
Formation energy from the elements   0.0106 eV per atom
Density of states at the Fermi level   3.22 states/eV/f.u.

Cell lengths 6.7724, 6.7724, 6.7724 Å; angles 90.00, 90.00, 90.00 degrees
With the nearest neighbours (Å) after each atom.
Space group F-43m (No. 216)
Asymmetric unit:
Tl 0.0000 0.0000 0.0000 x4  4 Rh 2.93, 4 Pd 2.93
Pd 0.2500 0.2500 0.2500 x4  4 Tl 2.93, 4 Pb 2.93
Rh 0.2500 0.2500 0.7500 x4  4 Tl 2.93, 4 Pb 2.93
Pb 0.0000 0.0000 0.5000 x4  4 Rh 2.93, 4 Pd 2.93